The following is a DFT calculation (SCAN) of Ta2RuRh at its PBEsol-relaxed geometry.

```
4
Lattice="0.0000 3.1333 3.1333 3.1333 0.0000 3.1333 3.1333 3.1333 0.0000" Properties=species:S:1:pos:R:3 pbc="T T T"
Ta 0.0000 0.0000 0.0000
Ta 1.5666 1.5666 1.5666
Ru 3.1333 3.1333 3.1333
Rh 4.6999 4.6999 4.6999
```

**Fermi-level density of states**: 4.4 states/eV per cell
**ΔH_f (0 K)**: -147 meV per atom
**Total moment**: 0.83 μB per cell